Li3HoSc4Se8 | PBE-GGA | optimized geometry

a = 7.866 Å, b = 7.866 Å, c = 7.866 Å
α = 59.11°, β = 59.11°, γ = 59.11°
Fractional positions:
Li 0.000 0.500 0.500
Li 0.500 0.000 0.500
Li 0.500 0.500 0.000
Ho 0.000 0.000 0.000
Sc 0.000 0.000 0.500
Sc 0.000 0.500 0.000
Sc 0.500 0.000 0.000
Sc 0.500 0.500 0.500
Se 0.247 0.247 0.247
Se 0.254 0.745 0.745
Se 0.255 0.255 0.746
Se 0.255 0.746 0.255
Se 0.745 0.254 0.745
Se 0.745 0.745 0.254
Se 0.746 0.255 0.255
Se 0.753 0.753 0.753

## Properties
energy relative to the elements, uncorrected = -1638 meV/atom
magnetic moment = 0.00 μB per cell
density of states at the Fermi level = 4.718 states/eV/f.u.
SG = R-3m, No. 166